*one*
DFT (PBE-GGA) results for a relaxed BaIn2Pb2 crystal.

Structure (POSCAR):
```
BaIn2Pb2
1.0
6.6328 0.0000 0.0000
2.7317 6.1407 0.0000
2.5272 1.5867 8.2629
Ba In Pb
2 4 4
Cartesian
2.3256 1.7717 1.8956
9.5661 5.9557 6.3673
2.7675 2.4592 5.5062
5.7146 3.3327 6.6559
6.1771 4.3947 1.6070
9.1242 5.2682 2.7567
6.1768 6.3421 8.0140
6.3194 5.6138 4.5244
5.5723 2.1136 3.7385
5.7149 1.3853 0.2489
```

## Properties
Fermi-level density of states (states/eV/cell): 4.54
Total moment (Bohr magnetons per cell): 0.0
Symmetry: P-1 (2)

*two*
DFT (PBE-GGA) results for a relaxed BaIn2Pb2 crystal.

Structure (POSCAR):
```
BaIn2Pb2
1.0
9.2458 0.0000 0.0000
0.0000 9.2458 0.0000
0.0000 0.0000 3.8358
Ba In Pb
2 4 4
Cartesian
0.0000 0.0000 0.0000
4.6229 4.6229 0.0000
1.4639 3.1590 1.9179
3.1590 7.7819 1.9179
6.0868 1.4639 1.9179
7.7819 6.0868 1.9179
1.2127 5.8356 0.0000
3.4102 1.2127 0.0000
5.8356 8.0331 0.0000
8.0331 3.4102 0.0000
```

## Properties
Fermi-level density of states (states/eV/cell): 5.61
Total moment (Bohr magnetons per cell): 0.0
Symmetry: P4/mbm (127)

*three*
DFT (PBE-GGA) results for a relaxed BaIn2Pb2 crystal.

Structure (POSCAR):
```
BaIn2Pb2
1.0
9.1124 0.0000 0.0000
0.0000 9.1124 0.0000
0.0000 0.0000 3.9276
Ba In Pb
2 4 4
Cartesian
0.0000 0.0000 0.0000
4.5562 4.5562 0.0000
1.1166 3.4396 0.0000
3.4396 7.9958 0.0000
5.6728 1.1166 0.0000
7.9958 5.6728 0.0000
1.5359 6.0921 1.9638
3.0202 1.5359 1.9638
6.0921 7.5764 1.9638
7.5764 3.0202 1.9638
```

## Properties
Fermi-level density of states (states/eV/cell): 5.97
Total moment (Bohr magnetons per cell): 0.0
Symmetry: P4/mbm (127)

*four*
DFT (PBE-GGA) results for a relaxed BaIn2Pb2 crystal.

Structure (POSCAR):
```
BaIn2Pb2
1.0
-2.7206 2.7206 5.7730
2.7206 -2.7206 5.7730
2.7206 2.7206 -5.7730
Ba In Pb
1 2 2
Cartesian
0.0000 0.0000 0.0000
0.0000 0.0000 4.3540
0.0000 0.0000 7.1919
2.7206 0.0000 2.8865
0.0000 2.7206 2.8865
```

## Properties
Fermi-level density of states (states/eV/cell): 1.99
Total moment (Bohr magnetons per cell): 0.0
Symmetry: I4/mmm (139)

Preferred: *four*; penalty for the next structure: 51 meV/atom.